## VCrAsO5 (GGA+U)

Data for crystalline VCrAsO5 at its relaxed geometry.

a = 5.703 Å, b = 5.703 Å, c = 7.247 Å
α = 108.25°, β = 108.25°, γ = 97.49°
Positions (direct):
1 V 0.198 0.802 0.750
2 V 0.802 0.198 0.250
3 Cr 0.500 0.500 0.000
4 Cr 0.500 0.500 0.500
5 As 0.146 0.854 0.250
6 As 0.854 0.146 0.750
7 O 0.184 0.195 0.854
8 O 0.195 0.184 0.354
9 O 0.249 0.731 0.443
10 O 0.269 0.751 0.057
11 O 0.424 0.576 0.750
12 O 0.576 0.424 0.250
13 O 0.731 0.249 0.943
14 O 0.751 0.269 0.557
15 O 0.805 0.816 0.646
16 O 0.816 0.805 0.146

Summary:
crystal system: monoclinic
space-group type: C2/c, No. 15
electronic total energy: -113.377 eV for the cell shown